Density functional theory data (GGA-PBE) for a relaxed structure of PS3I.

abc: 5.7450 6.4719 6.4720
angles: 120.00 90.00 90.00
Last column: nearest neighbours and their distance in Å.
Fractional coordinates of all 10 atoms:
S 0.7500 0.6888 0.8444  2 P 2.26
S 0.7500 0.1556 0.8444  2 P 2.26
S 0.2500 0.8444 0.6888  2 P 2.26
S 0.2500 0.3112 0.1556  2 P 2.26
S 0.2500 0.8444 0.1556  2 P 2.26
S 0.7500 0.1556 0.3112  2 P 2.26
P 0.5000 0.0000 0.0000  6 S 2.26
P 0.0000 0.0000 0.0000  6 S 2.26
I 0.7500 0.6668 0.3335  12 S 3.24-3.50
I 0.2500 0.3332 0.6666  12 S 3.24-3.50

Output
Total magnetic moment   0.0 μB/cell
ΔE to the lowest computed polymorph   192 meV per atom
Uncorrected formation energy   25 kJ per mole of atoms

***

Density functional theory data (GGA-PBE) for a relaxed structure of DyHoIn.

abc: 8.7386 5.9401 5.7445
angles: 61.05 42.42 28.64
Last column: nearest neighbours and their distance in Å.
Fractional coordinates of all 3 atoms:
Dy 0.2176 0.8258 0.5728  5 Ho 3.23-3.48, 5 In 3.30-3.57, 2 Dy 3.53
In 0.2162 0.1403 0.9174  5 Ho 3.29-3.59, 5 Dy 3.30-3.57, 2 In 3.53
Ho 0.2148 0.4508 0.2641  5 Dy 3.23-3.48, 5 In 3.29-3.59, 2 Ho 3.53

Output
Total magnetic moment   0.0 μB/cell
ΔE to the lowest computed polymorph   58 meV per atom
Energy relative to the elements   -24.74 kJ per mole of atoms

***

Density functional theory data (GGA-PBE) for a relaxed structure of LaGaI2.

abc: 5.7253 5.7253 5.7253
angles: 60.00 60.00 60.00
Last column: nearest neighbours and their distance in Å.
Fractional coordinates of all 4 atoms:
La 0.5000 0.5000 0.5000  8 I 3.51
I 0.7500 0.7500 0.7500  4 La 3.51, 4 Ga 3.51
I 0.2500 0.2500 0.2500  4 La 3.51, 4 Ga 3.51
Ga 0.0000 0.0000 0.0000  8 I 3.51

Output
Total magnetic moment   1.6 μB/cell
Uncorrected formation energy   -60 kJ per mole of atoms

***

Density functional theory data (GGA-PBE) for a relaxed structure of ZnCu6Au5.

abc: 4.0198 7.3297 7.3297
angles: 110.48 105.79 105.79
Last column: nearest neighbours and their distance in Å.
Fractional coordinates of all 12 atoms:
Cu 0.2495 0.0844 0.4150  1 Zn 2.71, 7 Au 2.71-2.81, 4 Cu 2.83-2.86
Cu 0.7514 0.2512 0.2512  6 Au 2.66-2.74, 2 Zn 2.72-2.73, 4 Cu 2.83
Cu 0.2486 0.7488 0.7488  6 Au 2.66-2.74, 2 Zn 2.72-2.73, 4 Cu 2.83
Cu 0.7505 0.9156 0.5850  1 Zn 2.71, 7 Au 2.71-2.81, 4 Cu 2.83-2.86
Cu 0.2495 0.4150 0.0844  1 Zn 2.71, 7 Au 2.71-2.81, 4 Cu 2.83-2.86
Cu 0.7505 0.5850 0.9156  1 Zn 2.71, 7 Au 2.71-2.81, 4 Cu 2.83-2.86
Zn 0.0000 0.0000 0.0000  8 Cu 2.71-2.73, 4 Au 2.77
Au 0.5000 0.8414 0.1586  8 Cu 2.66-2.81, 2 Zn 2.77, 2 Au 2.89
Au 0.0000 0.3306 0.6694  8 Cu 2.71-2.74, 4 Au 2.86-2.89
Au 0.5000 0.5000 0.5000  8 Cu 2.71-2.72, 4 Au 2.86
Au 0.5000 0.1586 0.8414  8 Cu 2.66-2.81, 2 Zn 2.77, 2 Au 2.89
Au 0.0000 0.6694 0.3306  8 Cu 2.71-2.74, 4 Au 2.86-2.89

Output
Total magnetic moment   0.0 μB/cell
Energy relative to the elements   -5.87 kJ per mole of atoms

***

Density functional theory data (GGA-PBE) for a relaxed structure of Y3CuS.

abc: 3.7878 8.8514 14.6336
angles: 90.00 90.00 90.00
Last column: nearest neighbours and their distance in Å.
Fractional coordinates of all 20 atoms:
Cu 0.7500 0.8984 0.8010  7 Y 2.88-3.10
Cu 0.7500 0.3984 0.6990  7 Y 2.88-3.10
Cu 0.2500 0.1016 0.1990  7 Y 2.88-3.10
Cu 0.2500 0.6016 0.3010  7 Y 2.88-3.10
Y 0.2500 0.3415 0.5545  2 S 2.75, 2 Cu 2.88
Y 0.2500 0.6756 0.7089  1 S 2.73, 2 Cu 3.05
Y 0.7500 0.8244 0.2089  1 S 2.73, 2 Cu 3.05
Y 0.2500 0.4920 0.1107  3 S 2.73-2.74, 1 Cu 2.95
Y 0.7500 0.1585 0.0545  2 S 2.75, 2 Cu 2.88
Y 0.2500 0.9920 0.3893  3 S 2.73-2.74, 1 Cu 2.95
Y 0.7500 0.0080 0.6107  3 S 2.73-2.74, 1 Cu 2.95
Y 0.2500 0.8415 0.9455  2 S 2.75, 2 Cu 2.88
Y 0.7500 0.5080 0.8893  3 S 2.73-2.74, 1 Cu 2.95
Y 0.7500 0.6585 0.4455  2 S 2.75, 2 Cu 2.88
Y 0.7500 0.3244 0.2911  1 S 2.73, 2 Cu 3.05
Y 0.2500 0.1756 0.7911  1 S 2.73, 2 Cu 3.05
S 0.2500 0.3164 0.9568  6 Y 2.73-2.75
S 0.2500 0.8164 0.5432  6 Y 2.73-2.75
S 0.7500 0.1836 0.4568  6 Y 2.73-2.75
S 0.7500 0.6836 0.0432  6 Y 2.73-2.75

Output
Total magnetic moment   0.0 μB/cell
ΔE to the lowest computed polymorph   0 meV per atom
Uncorrected formation energy   -84 kJ per mole of atoms

***

Density functional theory data (GGA-PBE) for a relaxed structure of BaAg4Pd2.

abc: 5.6248 5.8136 5.8137
angles: 76.23 60.96 60.96
Last column: nearest neighbours and their distance in Å.
Fractional coordinates of all 7 atoms:
Ba 0.0000 0.0000 0.0000  12 Ag 3.10-3.45
Ag 0.3054 0.3901 0.9995  4 Ag 2.80-3.03, 4 Pd 2.95-2.96, 1 Ba 3.10
Ag 0.3054 0.9996 0.3902  4 Ag 2.80-3.03, 4 Pd 2.95-2.96, 1 Ba 3.10
Ag 0.6946 0.6099 0.0005  4 Ag 2.80-3.03, 4 Pd 2.95-2.96, 1 Ba 3.10
Ag 0.6946 0.0005 0.6098  4 Ag 2.80-3.03, 4 Pd 2.95-2.96, 1 Ba 3.10
Pd 0.7506 0.4998 0.4998  2 Pd 2.81-2.82, 8 Ag 2.95-2.96
Pd 0.2494 0.5002 0.5002  2 Pd 2.81-2.82, 8 Ag 2.95-2.96

Output
Total magnetic moment   0.0 μB/cell
ΔE to the lowest computed polymorph   0 meV per atom
Energy relative to the elements   -16.58 kJ per mole of atoms

***

Density functional theory data (GGA-PBE) for a relaxed structure of Ce4Co2Sn.

abc: 6.5097 6.8281 8.5668
angles: 111.70 106.95 101.99
Last column: nearest neighbours and their distance in Å.
Fractional coordinates of all 14 atoms:
Ce 0.0062 0.2028 0.4027  2 Co 2.76-2.94, 1 Ce 2.97
Ce 0.8884 0.6020 0.1657  1 Co 2.35
Ce 0.4081 0.0228 0.3175  1 Co 2.46
Ce 0.7341 0.1763 0.7393  1 Co 2.45
Ce 0.3219 0.4114 0.1231  3 Co 2.84-2.98, 1 Ce 3.03, 1 Sn 3.16
Ce 0.4374 0.8107 0.9445  2 Co 2.52-2.57
Ce 0.8190 0.5852 0.5429  1 Co 2.31
Ce 0.2854 0.1783 0.7330  3 Ce 2.91-3.03, 2 Co 3.02-3.08
Co 0.0594 0.5254 0.8634  2 Ce 2.45-2.52
Co 0.6866 0.8357 0.3689  2 Ce 2.46-2.73
Co 0.6931 0.2277 0.0908  2 Ce 2.35-2.57
Co 0.6130 0.5468 0.7151  1 Ce 2.31
Sn 0.9580 0.9280 0.9701  2 Co 2.66-2.84
Sn 0.3396 0.6969 0.5229  1 Co 2.69

Output
Total magnetic moment   2.0 μB/cell
Energy relative to the elements   -26.14 kJ per mole of atoms

***

Density functional theory data (GGA-PBE) for a relaxed structure of CsBa2LiH.

abc: 5.8032 5.8032 6.5944
angles: 90.00 90.00 90.00
Last column: nearest neighbours and their distance in Å.
Fractional coordinates of all 5 atoms:
Li 0.5000 0.5000 0.5000  4 Cs 4.10, 8 Ba 4.39
Cs 0.0000 0.0000 0.5000  2 H 3.30
Ba 0.0000 0.5000 0.0000  2 H 2.90
Ba 0.5000 0.0000 0.0000  2 H 2.90
H 0.0000 0.0000 0.0000  4 Ba 2.90

Output
VASP energy   -9.82 eV/cell
Total magnetic moment   0.0 μB/cell

***

What did the first record say?
Density functional theory data (GGA-PBE) for a relaxed structure of PS3I.

abc: 5.7450 6.4719 6.4720
angles: 120.00 90.00 90.00
Last column: nearest neighbours and their distance in Å.
Fractional coordinates of all 10 atoms:
S 0.7500 0.6888 0.8444  2 P 2.26
S 0.7500 0.1556 0.8444  2 P 2.26
S 0.2500 0.8444 0.6888  2 P 2.26
S 0.2500 0.3112 0.1556  2 P 2.26
S 0.2500 0.8444 0.1556  2 P 2.26
S 0.7500 0.1556 0.3112  2 P 2.26
P 0.5000 0.0000 0.0000  6 S 2.26
P 0.0000 0.0000 0.0000  6 S 2.26
I 0.7500 0.6668 0.3335  12 S 3.24-3.50
I 0.2500 0.3332 0.6666  12 S 3.24-3.50

Output
Total magnetic moment   0.0 μB/cell
ΔE to the lowest computed polymorph   192 meV per atom
Uncorrected formation energy   25 kJ per mole of atoms